Below is crystalline ScPt2Pb at its relaxed geometry, with properties calculated at the PBE level.

Output
DFT formation energy: -0.6163 eV per atom
density: 13.9 g/cm3
crystal system: tetragonal

```
data_ScPt2Pb
_chemical_formula_sum 'Sc1 Pt2 Pb1'
_symmetry_space_group_name_H-M 'P 4/m m m'
_symmetry_Int_Tables_number 123
_symmetry_space_group_name_Hall '-P 4 2'
_cell_length_a 4.506
_cell_length_b 4.506
_cell_length_c 3.769
_cell_angle_alpha 90.00
_cell_angle_beta 90.00
_cell_angle_gamma 90.00
loop_
_atom_site_label
_atom_site_type_symbol
_atom_site_fract_x
_atom_site_fract_y
_atom_site_fract_z
Sc1 Sc 0.000 0.000 0.000
Pt1 Pt 0.000 0.500 0.500
Pb1 Pb 0.500 0.500 0.000
```

***

Below is crystalline ScPt2Pb at its relaxed geometry, with properties calculated at the PBE level.

Output
DFT formation energy: -0.3894 eV per atom
density: 11.9 g/cm3
crystal system: trigonal

```
data_ScPt2Pb
_chemical_formula_sum 'Sc3 Pt6 Pb3'
_symmetry_space_group_name_H-M 'R 3 m'
_symmetry_Int_Tables_number 160
_symmetry_space_group_name_Hall 'R 3 -2"'
_cell_length_a 4.1522
_cell_length_b 4.1522
_cell_length_c 18.0370
_cell_angle_alpha 90.00
_cell_angle_beta 90.00
_cell_angle_gamma 120.00
loop_
_atom_site_label
_atom_site_type_symbol
_atom_site_fract_x
_atom_site_fract_y
_atom_site_fract_z
Sc1 Sc 0.0000 0.0000 0.0000
Pt1 Pt 0.0000 0.0000 0.4630
Pt2 Pt 0.0000 0.0000 0.7272
Pb1 Pb 0.0000 0.0000 0.2084
```

***

Below is crystalline ScPt2Pb at its relaxed geometry, with properties calculated at the PBE level.

Output
DFT formation energy: -0.5369 eV per atom
density: 12.2 g/cm3
crystal system: trigonal

```
data_ScPt2Pb
_chemical_formula_sum 'Sc3 Pt6 Pb3'
_symmetry_space_group_name_H-M 'R -3 m'
_symmetry_Int_Tables_number 166
_symmetry_space_group_name_Hall '-R 3 2"'
_cell_length_a 3.9679
_cell_length_b 3.9679
_cell_length_c 19.2954
_cell_angle_alpha 90.00
_cell_angle_beta 90.00
_cell_angle_gamma 120.00
loop_
_atom_site_label
_atom_site_type_symbol
_atom_site_fract_x
_atom_site_fract_y
_atom_site_fract_z
Sc1 Sc 0.0000 0.0000 0.0000
Pt1 Pt 0.0000 0.0000 0.2569
Pb1 Pb 0.0000 0.0000 0.5000
```

***

Below is crystalline Sc2PtPb2 at its relaxed geometry, with properties calculated at the PBE level.

Output
DFT formation energy: -0.3449 eV per atom
density: 10.0 g/cm3
crystal system: tetragonal

```
data_Sc2PtPb2
_chemical_formula_sum 'Sc4 Pt2 Pb4'
_symmetry_space_group_name_H-M 'P 4/m b m'
_symmetry_Int_Tables_number 127
_symmetry_space_group_name_Hall '-P 4 2ab'
_cell_length_a 7.216
_cell_length_b 7.216
_cell_length_c 4.449
_cell_angle_alpha 90.00
_cell_angle_beta 90.00
_cell_angle_gamma 90.00
loop_
_atom_site_label
_atom_site_type_symbol
_atom_site_fract_x
_atom_site_fract_y
_atom_site_fract_z
Sc1 Sc 0.163 0.337 0.000
Pt1 Pt 0.000 0.000 0.500
Pb1 Pb 0.148 0.648 0.500
```